! PBE VCu2Ir, optimized geometry; values from VASP
&SYSTEM
  ibrav = 0, nat = 4, ntyp = 3
/
ATOMIC_SPECIES
Ir 192.22 Ir.upf
Cu 63.55 Cu.upf
V 50.94 V.upf
CELL_PARAMETERS angstrom
0.728 0.273 4.118
-1.983 2.895 2.291
-2.960 -1.156 2.732
ATOMIC_POSITIONS crystal
Ir 0.500 0.500 0.500
Cu 0.250 0.250 0.250
Cu 0.750 0.750 0.750
V 0.000 0.000 0.000
! ΔE to the lowest computed polymorph, meV/atom: 0.0
! Uncorrected energy, eV per formula unit: -25.73
! Mass density, g/cm³: 11.8
! SG: No. 225

***

! PBE Ca2Ge4Ir3, optimized geometry; values from VASP
&SYSTEM
  ibrav = 0, nat = 9, ntyp = 3
/
ATOMIC_SPECIES
Ca 40.08 Ca.upf
Ge 72.64 Ge.upf
Ir 192.22 Ir.upf
CELL_PARAMETERS angstrom
-3.307 3.041 -3.483
2.339 -4.862 -1.790
-4.522 -2.236 4.642
ATOMIC_POSITIONS crystal
Ca 0.628 0.628 0.257
Ca 0.372 0.372 0.743
Ge 0.017 0.674 0.692
Ge 0.674 0.017 0.692
Ge 0.983 0.326 0.308
Ge 0.326 0.983 0.308
Ir 0.500 0.000 0.000
Ir 0.000 0.000 0.000
Ir 0.000 0.500 0.000
! ΔE to the lowest computed polymorph, meV/atom: 74.2
! Uncorrected energy, eV per formula unit: -53.57
! Mass density, g/cm³: 9.0
! SG: No. 69

***

! PBE Tl2ZnSe, optimized geometry; values from VASP
&SYSTEM
  ibrav = 0, nat = 4, ntyp = 3
/
ATOMIC_SPECIES
Se 78.96 Se.upf
Tl 204.38 Tl.upf
Zn 65.41 Zn.upf
CELL_PARAMETERS angstrom
3.811 0.000 0.000
0.000 3.798 0.042
0.000 3.723 7.474
ATOMIC_POSITIONS crystal
Se 0.500 0.750 0.750
Tl 0.000 0.011 0.986
Tl 0.000 0.489 0.514
Zn 0.500 0.250 0.250
! ΔE to the lowest computed polymorph, meV/atom: 143.2
! Formation energy from raw total energies, meV/atom: -42
! Uncorrected energy, eV per formula unit: -9.66
! Mass density, g/cm³: 8.5
! SG: No. 10

***

! PBE Tm6BiSe5, optimized geometry; values from VASP
&SYSTEM
  ibrav = 0, nat = 12, ntyp = 3
/
ATOMIC_SPECIES
Tm 168.93 Tm.upf
Bi 208.98 Bi.upf
Se 78.96 Se.upf
CELL_PARAMETERS angstrom
-4.114 -0.395 5.731
0.451 -6.545 2.790
2.629 1.613 6.355
ATOMIC_POSITIONS crystal
Tm 0.437 0.732 0.653
Tm 0.910 0.268 0.653
Tm 0.263 0.260 0.000
Tm 0.737 0.740 0.000
Tm 0.090 0.732 0.347
Tm 0.563 0.268 0.347
Bi 0.000 0.000 0.000
Se 0.841 0.500 0.317
Se 0.669 0.000 0.663
Se 0.500 0.500 0.000
Se 0.331 0.000 0.337
Se 0.159 0.500 0.683
! Formation energy from raw total energies, meV/atom: -1495
! Uncorrected energy, eV per formula unit: -66.07
! Mass density, g/cm³: 9.2
! SG: No. 12